The following is a DFT calculation (GGA+U) of a geometry-optimized CdFeNiF6 structure.

Calculated values
Magnetic moment ... 6.00 μB per formula unit
VASP energy ... -81.522 eV for the cell shown

a = 4.9107 Å, b = 4.9107 Å, c = 9.9570 Å
α = 90.00°, β = 90.00°, γ = 90.00°
Space group P4_2nm (No. 102)
Inequivalent atoms, fractional coordinates:
Cd 0.0000 0.0000 0.0000 [2 per cell]
Fe 0.0000 0.0000 0.6678 [2 per cell]
Ni 0.0000 0.0000 0.3335 [2 per cell]
F 0.1812 0.1812 0.4955 [4 per cell]
F 0.2022 0.2022 0.1809 [4 per cell]
F 0.2086 0.2086 0.8255 [4 per cell]